Density functional theory data (GGA-PBE) for a geometry-optimized Ca2Cu4AgGe3 structure.

## Properties
ΔE_f = -2.92 eV per formula unit
DOS at the Fermi energy = 3.2 states/eV per cell
volume = 181.9 Å³ per cell
spin magnetization = 0.00 Bohr magnetons per cell
calculated total energy = -40.01 eV for the cell shown
density = 6.03 g/cm³
crystal system = tetragonal

Cell: 4.2380 4.2380 10.1262 Å, 90.00 90.00 90.00°
Space group P-4m2 (No. 115)
One atom of each set of equivalent atoms:
1 Ca 0.0000 0.5000 0.2415
2 Cu 0.0000 0.0000 0.0000
3 Cu 0.0000 0.5000 0.6392
4 Cu 0.5000 0.5000 0.0000
5 Ag 0.0000 0.0000 0.5000
6 Ge 0.0000 0.5000 0.8734
7 Ge 0.5000 0.5000 0.5000



Density functional theory data (GGA-PBE) for a geometry-optimized Ca2CuAgH structure.

## Properties
DOS at the Fermi energy = 2.5 states/eV per cell
volume = 97.9 Å³ per cell
spin magnetization = 0.00 Bohr magnetons per cell
calculated total energy = -15.12 eV for the cell shown
density = 4.29 g/cm³
offset from the most stable computed form = 69 meV per atom
crystal system = tetragonal

Cell: 4.9863 4.9863 3.9366 Å, 90.00 90.00 90.00°
Space group P4/mmm (No. 123)
One atom of each set of equivalent atoms:
1 Ca 0.0000 0.5000 0.0000
2 Cu 0.0000 0.0000 0.5000
3 Ag 0.5000 0.5000 0.5000
4 H 0.5000 0.5000 0.0000



Density functional theory data (GGA-PBE) for a geometry-optimized Ca2CuAgH structure.

## Properties
DOS at the Fermi energy = 2.8 states/eV per cell
volume = 95.7 Å³ per cell
spin magnetization = 0.00 Bohr magnetons per cell
calculated total energy = -15.46 eV for the cell shown
density = 4.38 g/cm³
offset from the most stable computed form = 0 meV per atom
crystal system = tetragonal

Cell: 5.0381 5.0381 3.7705 Å, 90.00 90.00 90.00°
Space group P4/mmm (No. 123)
One atom of each set of equivalent atoms:
1 Ca 0.0000 0.5000 0.0000
2 Cu 0.0000 0.0000 0.5000
3 Ag 0.5000 0.5000 0.5000
4 H 0.0000 0.0000 0.0000



Density functional theory data (GGA-PBE) for a geometry-optimized CaHfCu2Ag structure.

## Properties
ΔE_f = 4.59 eV per formula unit
DOS at the Fermi energy = 5.7 states/eV per cell
volume = 116.8 Å³ per cell
spin magnetization = 0.11 Bohr magnetons per cell
calculated total energy = -18.41 eV for the cell shown
density = 6.45 g/cm³
crystal system = tetragonal

Cell: 4.8167 4.8167 5.0325 Å, 90.00 90.00 90.00°
Space group P4/mmm (No. 123)
One atom of each set of equivalent atoms:
1 Ca 0.0000 0.0000 0.0000
2 Hf 0.5000 0.5000 0.0000
3 Cu 0.0000 0.5000 0.5000
4 Ag 0.0000 0.0000 0.5000



Density functional theory data (GGA-PBE) for a geometry-optimized Ca2CuAgIr structure.

## Properties
ΔE_f = 1.43 eV per formula unit
DOS at the Fermi energy = 2.7 states/eV per cell
volume = 128.8 Å³ per cell
spin magnetization = 0.00 Bohr magnetons per cell
calculated total energy = -18.38 eV for the cell shown
density = 5.72 g/cm³
crystal system = tetragonal

Cell: 5.3111 5.3111 4.5647 Å, 90.00 90.00 90.00°
Space group P4/mmm (No. 123)
One atom of each set of equivalent atoms:
1 Ca 0.0000 0.5000 0.0000
2 Cu 0.0000 0.0000 0.0000
3 Ag 0.5000 0.5000 0.5000
4 Ir 0.0000 0.0000 0.5000



Density functional theory data (GGA-PBE) for a geometry-optimized K2CaCuAg structure.

## Properties
ΔE_f = 3.55 eV per formula unit
DOS at the Fermi energy = 3.3 states/eV per cell
volume = 276.5 Å³ per cell
spin magnetization = 0.00 Bohr magnetons per cell
calculated total energy = -7.59 eV for the cell shown
density = 1.74 g/cm³
crystal system = tetragonal

Cell: 7.2447 7.2447 5.2683 Å, 90.00 90.00 90.00°
Space group P4/mmm (No. 123)
One atom of each set of equivalent atoms:
1 K 0.0000 0.5000 0.0000
2 Ca 0.0000 0.0000 0.0000
3 Cu 0.0000 0.0000 0.5000
4 Ag 0.5000 0.5000 0.5000



Density functional theory data (GGA-PBE) for a geometry-optimized CaLuCuAg structure.

## Properties
ΔE_f = -0.76 eV per formula unit
DOS at the Fermi energy = 16.9 states/eV per cell
volume = 357.5 Å³ per cell
spin magnetization = 0.00 Bohr magnetons per cell
calculated total energy = -56.90 eV for the cell shown
density = 7.18 g/cm³
crystal system = cubic

Cell: 7.0973 7.0973 7.0973 Å, 90.00 90.00 90.00°
Space group F-43m (No. 216)
One atom of each set of equivalent atoms:
1 Ca 0.0000 0.0000 0.0000
2 Lu 0.0000 0.0000 0.5000
3 Cu 0.2500 0.2500 0.7500
4 Ag 0.2500 0.2500 0.2500



Density functional theory data (GGA-PBE) for a geometry-optimized Ca2CuAgN structure.

## Properties
DOS at the Fermi energy = 2.5 states/eV per cell
volume = 95.5 Å³ per cell
spin magnetization = 0.00 Bohr magnetons per cell
calculated total energy = -21.27 eV for the cell shown
density = 4.62 g/cm³
crystal system = tetragonal

Cell: 5.0113 5.0113 3.8036 Å, 90.00 90.00 90.00°
Space group P4/mmm (No. 123)
One atom of each set of equivalent atoms:
1 Ca 0.0000 0.5000 0.0000
2 Cu 0.0000 0.0000 0.5000
3 Ag 0.5000 0.5000 0.5000
4 N 0.0000 0.0000 0.0000



Density functional theory data (GGA-PBE) for a geometry-optimized NaCaCuAg structure.

## Properties
ΔE_f = 0.01 eV per formula unit
DOS at the Fermi energy = 8.2 states/eV per cell
volume = 367.2 Å³ per cell
spin magnetization = 0.00 Bohr magnetons per cell
calculated total energy = -41.02 eV for the cell shown
density = 4.24 g/cm³
crystal system = cubic

Cell: 7.1609 7.1609 7.1609 Å, 90.00 90.00 90.00°
Space group F-43m (No. 216)
One atom of each set of equivalent atoms:
1 Na 0.0000 0.0000 0.0000
2 Ca 0.0000 0.0000 0.5000
3 Cu 0.2500 0.2500 0.2500
4 Ag 0.2500 0.2500 0.7500



Density functional theory data (GGA-PBE) for a geometry-optimized CaNdCuAg structure.

## Properties
ΔE_f = -0.82 eV per formula unit
DOS at the Fermi energy = 8.9 states/eV per cell
volume = 389.1 Å³ per cell
spin magnetization = 0.00 Bohr magnetons per cell
calculated total energy = -58.14 eV for the cell shown
density = 6.07 g/cm³
crystal system = cubic

Cell: 7.3002 7.3002 7.3002 Å, 90.00 90.00 90.00°
Space group F-43m (No. 216)
One atom of each set of equivalent atoms:
1 Ca 0.0000 0.0000 0.0000
2 Nd 0.0000 0.0000 0.5000
3 Cu 0.2500 0.2500 0.7500
4 Ag 0.2500 0.2500 0.2500



Density functional theory data (GGA-PBE) for a geometry-optimized Ca2Cu3AgP4 structure.

## Properties
ΔE_f = -4.79 eV per formula unit
DOS at the Fermi energy = 5.0 states/eV per cell
volume = 169.3 Å³ per cell
spin magnetization = 0.00 Bohr magnetons per cell
calculated total energy = -45.57 eV for the cell shown
density = 4.93 g/cm³
crystal system = tetragonal

Cell: 4.1168 4.1168 9.9913 Å, 90.00 90.00 90.00°
Space group P-4m2 (No. 115)
One atom of each set of equivalent atoms:
1 Ca 0.0000 0.5000 0.2450
2 Cu 0.0000 0.5000 0.8776
3 Cu 0.5000 0.5000 0.5000
4 Ag 0.0000 0.0000 0.5000
5 P 0.0000 0.0000 0.0000
6 P 0.0000 0.5000 0.6477
7 P 0.5000 0.5000 0.0000



Density functional theory data (GGA-PBE) for a geometry-optimized CaCu2AgP structure.

## Properties
ΔE_f = 1.48 eV per formula unit
DOS at the Fermi energy = 1.4 states/eV per cell
volume = 108.9 Å³ per cell
spin magnetization = 0.00 Bohr magnetons per cell
calculated total energy = -16.97 eV for the cell shown
density = 4.67 g/cm³
crystal system = tetragonal

Cell: 4.7670 4.7670 4.7912 Å, 90.00 90.00 90.00°
Space group P4/mmm (No. 123)
One atom of each set of equivalent atoms:
1 Ca 0.0000 0.0000 0.0000
2 Cu 0.0000 0.5000 0.5000
3 Ag 0.5000 0.5000 0.5000
4 P 0.5000 0.5000 0.0000



Density functional theory data (GGA-PBE) for a geometry-optimized Ca2CuAg2Pd5 structure.

## Properties
ΔE_f = -2.95 eV per formula unit
DOS at the Fermi energy = 7.2 states/eV per cell
volume = 376.8 Å³ per cell
spin magnetization = 0.00 Bohr magnetons per cell
calculated total energy = -85.44 eV for the cell shown
density = 7.86 g/cm³
crystal system = tetragonal

Cell: 9.7651 9.7651 3.9518 Å, 90.00 90.00 90.00°
Space group P4/mbm (No. 127)
One atom of each set of equivalent atoms:
1 Ca 0.1715 0.3285 0.0000
2 Cu 0.0000 0.0000 0.0000
3 Ag 0.1302 0.6302 0.0000
4 Pd 0.0000 0.5000 0.5000
5 Pd 0.0521 0.8074 0.5000



Density functional theory data (GGA-PBE) for a geometry-optimized CaPmCuAg structure.

## Properties
ΔE_f = -0.82 eV per formula unit
DOS at the Fermi energy = 10.5 states/eV per cell
volume = 384.6 Å³ per cell
spin magnetization = 0.00 Bohr magnetons per cell
calculated total energy = -58.08 eV for the cell shown
density = 6.16 g/cm³
offset from the most stable computed form = 7 meV per atom
crystal system = cubic

Cell: 7.2722 7.2722 7.2722 Å, 90.00 90.00 90.00°
Space group F-43m (No. 216)
One atom of each set of equivalent atoms:
1 Ca 0.0000 0.0000 0.0000
2 Pm 0.0000 0.0000 0.5000
3 Cu 0.2500 0.2500 0.2500
4 Ag 0.2500 0.2500 0.7500



Density functional theory data (GGA-PBE) for a geometry-optimized CaPmCuAg structure.

## Properties
ΔE_f = -0.85 eV per formula unit
DOS at the Fermi energy = 3.3 states/eV per cell
volume = 97.8 Å³ per cell
spin magnetization = 0.00 Bohr magnetons per cell
calculated total energy = -14.55 eV for the cell shown
density = 6.05 g/cm³
offset from the most stable computed form = 0 meV per atom
crystal system = tetragonal

Cell: 3.6353 3.6353 7.4018 Å, 90.00 90.00 90.00°
Space group P4mm (No. 99)
One atom of each set of equivalent atoms:
1 Ca 0.0000 0.0000 0.0000
2 Pm 0.0000 0.0000 0.5254
3 Cu 0.5000 0.5000 0.7380
4 Ag 0.5000 0.5000 0.2702



Density functional theory data (GGA-PBE) for a geometry-optimized Ca2Cu5AgRh2 structure.

## Properties
ΔE_f = -0.71 eV per formula unit
DOS at the Fermi energy = 8.0 states/eV per cell
volume = 334.1 Å³ per cell
spin magnetization = 0.00 Bohr magnetons per cell
calculated total energy = -85.49 eV for the cell shown
density = 7.07 g/cm³
crystal system = tetragonal

Cell: 9.1744 9.1744 3.9693 Å, 90.00 90.00 90.00°
Space group P4/mbm (No. 127)
One atom of each set of equivalent atoms:
1 Ca 0.1734 0.3266 0.0000
2 Cu 0.0000 0.5000 0.5000
3 Cu 0.0619 0.7992 0.5000
4 Ag 0.0000 0.0000 0.0000
5 Rh 0.1257 0.6257 0.0000



Density functional theory data (GGA-PBE) for a geometry-optimized Ca2CuAgSe structure.

## Properties
DOS at the Fermi energy = 1.6 states/eV per cell
volume = 141.1 Å³ per cell
spin magnetization = 0.00 Bohr magnetons per cell
calculated total energy = -15.49 eV for the cell shown
density = 3.89 g/cm³
crystal system = tetragonal

Cell: 5.5426 5.5426 4.5937 Å, 90.00 90.00 90.00°
Space group P4/mmm (No. 123)
One atom of each set of equivalent atoms:
1 Ca 0.0000 0.5000 0.0000
2 Cu 0.0000 0.0000 0.0000
3 Ag 0.5000 0.5000 0.5000
4 Se 0.0000 0.0000 0.5000



Density functional theory data (GGA-PBE) for a geometry-optimized CaSmCuAg structure.

## Properties
ΔE_f = -0.87 eV per formula unit
DOS at the Fermi energy = 3.3 states/eV per cell
volume = 97.0 Å³ per cell
spin magnetization = 0.00 Bohr magnetons per cell
calculated total energy = -14.54 eV for the cell shown
density = 6.19 g/cm³
offset from the most stable computed form = 0 meV per atom
crystal system = tetragonal

Cell: 3.6250 3.6250 7.3812 Å, 90.00 90.00 90.00°
Space group P4mm (No. 99)
One atom of each set of equivalent atoms:
1 Ca 0.0000 0.0000 0.0000
2 Sm 0.0000 0.0000 0.4748
3 Cu 0.5000 0.5000 0.2635
4 Ag 0.5000 0.5000 0.7281



Density functional theory data (GGA-PBE) for a geometry-optimized CaSmCuAg structure.

## Properties
ΔE_f = -0.81 eV per formula unit
DOS at the Fermi energy = 11.9 states/eV per cell
volume = 381.2 Å³ per cell
spin magnetization = 0.00 Bohr magnetons per cell
calculated total energy = -57.93 eV for the cell shown
density = 6.31 g/cm³
offset from the most stable computed form = 14 meV per atom
crystal system = cubic

Cell: 7.2507 7.2507 7.2507 Å, 90.00 90.00 90.00°
Space group F-43m (No. 216)
One atom of each set of equivalent atoms:
1 Ca 0.0000 0.0000 0.0000
2 Sm 0.0000 0.0000 0.5000
3 Cu 0.2500 0.2500 0.7500
4 Ag 0.2500 0.2500 0.2500



Density functional theory data (GGA-PBE) for a geometry-optimized CaTbCuAg structure.

## Properties
ΔE_f = -0.81 eV per formula unit
DOS at the Fermi energy = 14.6 states/eV per cell
volume = 371.1 Å³ per cell
spin magnetization = 0.00 Bohr magnetons per cell
calculated total energy = -57.55 eV for the cell shown
density = 6.63 g/cm³
crystal system = cubic

Cell: 7.1859 7.1859 7.1859 Å, 90.00 90.00 90.00°
Space group F-43m (No. 216)
One atom of each set of equivalent atoms:
1 Ca 0.0000 0.0000 0.0000
2 Tb 0.0000 0.0000 0.5000
3 Cu 0.2500 0.2500 0.2500
4 Ag 0.2500 0.2500 0.7500